Record 1
Below is an optimized crystal structure of Ca2Bi4Sb, with properties calculated at the PBE-GGA level.

Computed properties:
ΔE_f (raw) = -404.7 meV/atom
Final energy = -3.7831 eV/atom
Offset from the most stable computed form = 0.0000 eV/atom
Magnetization = 0.00 μB per cell

Cell lengths 6.8050, 6.8050, 7.0399 Å; angles 121.10, 121.10, 86.01 degrees
With the nearest neighbours (Å) after each atom.
Positions (direct):
Sb 0.7857 0.7857 0.5714  4 Ca 3.40, 8 Bi 3.40-3.52
Ca 0.2858 0.7857 0.5715  2 Sb 3.40, 8 Bi 3.40-3.52
Ca 0.7857 0.2858 0.5715  2 Sb 3.40, 8 Bi 3.40-3.52
Bi 0.7858 0.7858 0.0715  4 Bi 3.40, 4 Ca 3.40-3.41, 2 Sb 3.52
Bi 0.2857 0.2857 0.0714  4 Bi 3.40, 4 Ca 3.40, 2 Sb 3.52
Bi 0.7857 0.2857 0.0714  4 Bi 3.40, 2 Sb 3.40-3.41, 4 Ca 3.52
Bi 0.2857 0.7857 0.0714  4 Bi 3.40, 2 Sb 3.40-3.41, 4 Ca 3.52

=====

Record 2
Below is an optimized crystal structure of CaBi2Sb2, with properties calculated at the PBE-GGA level.

Computed properties:
ΔE_f (raw) = -100.5 meV/atom
Final energy = -3.7022 eV/atom
Offset from the most stable computed form = 0.1144 eV/atom
Magnetization = 0.00 μB per cell

Cell lengths 4.4366, 4.4366, 8.9612 Å; angles 75.67, 75.67, 90.00 degrees
With the nearest neighbours (Å) after each atom.
Positions (direct):
Sb 0.7500 0.2500 0.5000  4 Sb 3.14, 4 Bi 3.46
Sb 0.2500 0.7500 0.5000  4 Sb 3.14, 4 Bi 3.46
Ca 0.0000 0.0000 0.0000  8 Bi 3.50
Bi 0.4079 0.4079 0.1842  1 Bi 3.09, 4 Sb 3.46
Bi 0.5921 0.5921 0.8158  1 Bi 3.09, 4 Sb 3.46

=====

Record 3
Below is an optimized crystal structure of Ca3BiSb, with properties calculated at the PBE-GGA level.

Computed properties:
ΔE_f (raw) = -878.1 meV/atom
Final energy = -3.6797 eV/atom
Offset from the most stable computed form = 0.0417 eV/atom
Magnetization = 0.00 μB per cell

Cell lengths 8.8060, 8.7888, 8.7888 Å; angles 91.03, 89.06, 89.06 degrees
With the nearest neighbours (Å) after each atom.
Positions (direct):
Ca 0.5569 0.8158 0.0880  2 Sb 3.10-3.36, 2 Bi 3.26-3.35
Ca 0.9431 0.9120 0.1842  2 Sb 3.10-3.36, 2 Bi 3.26-3.35
Ca 0.4431 0.1842 0.9120  2 Sb 3.10-3.36, 2 Bi 3.26-3.35
Ca 0.0569 0.0880 0.8158  2 Sb 3.10-3.36, 2 Bi 3.26-3.35
Ca 0.8160 0.4186 0.0585  2 Sb 3.13-3.30, 3 Bi 3.28-3.44
Ca 0.6840 0.9415 0.5814  2 Sb 3.13-3.30, 3 Bi 3.28-3.44
Ca 0.1840 0.5814 0.9415  2 Sb 3.13-3.30, 3 Bi 3.28-3.44
Ca 0.3160 0.0585 0.4186  2 Sb 3.13-3.30, 3 Bi 3.28-3.44
Ca 0.5838 0.5550 0.6801  3 Sb 3.11-3.44, 2 Bi 3.34-3.39
Ca 0.9162 0.3199 0.4450  3 Sb 3.11-3.44, 2 Bi 3.34-3.39
Ca 0.4162 0.4450 0.3199  3 Sb 3.11-3.44, 2 Bi 3.34-3.39
Ca 0.0838 0.6801 0.5550  3 Sb 3.11-3.44, 2 Bi 3.34-3.39
Bi 0.8603 0.7495 0.8599  8 Ca 3.26-3.49
Bi 0.6397 0.1401 0.2505  8 Ca 3.26-3.49
Bi 0.1397 0.2505 0.1401  8 Ca 3.26-3.49
Bi 0.3603 0.8599 0.7495  8 Ca 3.26-3.49
Sb 0.2500 0.7500 0.2500  6 Ca 3.10-3.13
Sb 0.7500 0.2500 0.7500  6 Ca 3.10-3.13
Sb 0.2500 0.3618 0.6382  8 Ca 3.24-3.44
Sb 0.7500 0.6382 0.3618  8 Ca 3.24-3.44

=====

Record 4
Below is an optimized crystal structure of Ca4BiSb, with properties calculated at the PBE-GGA level.

Computed properties:
ΔE_f (raw) = -714.9 meV/atom
Final energy = -3.3831 eV/atom
Magnetization = 0.00 μB per cell

Cell lengths 7.4923, 7.4929, 9.1892 Å; angles 114.09, 114.08, 90.00 degrees
With the nearest neighbours (Å) after each atom.
Positions (direct):
Ca 0.3776 0.8776 0.7555  2 Sb 3.22, 2 Bi 3.27
Ca 0.6221 0.6224 0.2444  2 Sb 3.22, 2 Bi 3.27
Ca 0.6224 0.1224 0.2445  2 Sb 3.22, 2 Bi 3.27
Ca 0.3779 0.3776 0.7556  2 Sb 3.22, 2 Bi 3.27
Ca 0.8776 0.8778 0.7556  2 Sb 3.22, 2 Bi 3.27
Ca 0.1221 0.6222 0.2445  2 Sb 3.22, 2 Bi 3.27
Ca 0.1224 0.1222 0.2444  2 Sb 3.22, 2 Bi 3.27
Ca 0.8779 0.3778 0.7555  2 Sb 3.22, 2 Bi 3.27
Bi 0.5000 0.0000 0.5000  8 Ca 3.27
Bi 0.0000 0.5000 0.5000  8 Ca 3.27
Sb 0.7501 0.7500 0.0000  8 Ca 3.22
Sb 0.2499 0.2500 0.0000  8 Ca 3.22

=====

Record 5
Below is an optimized crystal structure of Ca2BiSb2, with properties calculated at the PBE-GGA level.

Computed properties:
ΔE_f (raw) = -462.1 meV/atom
Final energy = -3.6879 eV/atom
Offset from the most stable computed form = 0.2105 eV/atom
Magnetization = 0.00 μB per cell

Cell lengths 8.8667, 8.8667, 3.8408 Å; angles 90.00, 90.00, 90.00 degrees
With the nearest neighbours (Å) after each atom.
Positions (direct):
Sb 0.1721 0.6721 0.5000  6 Ca 3.09-3.35
Sb 0.6721 0.8279 0.5000  6 Ca 3.09-3.35
Sb 0.8279 0.3279 0.5000  6 Ca 3.09-3.35
Sb 0.3279 0.1721 0.5000  6 Ca 3.09-3.35
Ca 0.3655 0.8655 0.0000  6 Sb 3.09-3.35, 1 Ca 3.37, 2 Bi 3.45
Ca 0.8655 0.6345 0.0000  6 Sb 3.09-3.35, 1 Ca 3.37, 2 Bi 3.45
Ca 0.6345 0.1345 0.0000  6 Sb 3.09-3.35, 1 Ca 3.37, 2 Bi 3.45
Ca 0.1345 0.3655 0.0000  6 Sb 3.09-3.35, 1 Ca 3.37, 2 Bi 3.45
Bi 0.0000 0.0000 0.0000  4 Ca 3.45, 8 Sb 3.80, 2 Bi 3.84
Bi 0.5000 0.5000 0.0000  4 Ca 3.45, 8 Sb 3.80, 2 Bi 3.84

=====

Record 6
Below is an optimized crystal structure of Ca2BiSb, with properties calculated at the PBE-GGA level.

Computed properties:
ΔE_f (raw) = -755.8 meV/atom
Final energy = -3.7574 eV/atom
Offset from the most stable computed form = 0.0148 eV/atom
Magnetization = 0.00 μB per cell

Cell lengths 4.3280, 5.2747, 5.2747 Å; angles 90.00, 90.00, 90.00 degrees
With the nearest neighbours (Å) after each atom.
Positions (direct):
Sb 0.5000 0.0000 0.0000  8 Ca 3.41, 4 Bi 3.73
Ca 0.0000 0.0000 0.5000  4 Sb 3.41, 4 Bi 3.41, 4 Ca 3.73
Ca 0.0000 0.5000 0.0000  4 Bi 3.41, 4 Sb 3.41, 4 Ca 3.73
Bi 0.5000 0.5000 0.5000  8 Ca 3.41, 4 Sb 3.73

=====

Record 7
Below is an optimized crystal structure of CaBiSb2, with properties calculated at the PBE-GGA level.

Computed properties:
ΔE_f (raw) = -368.6 meV/atom
Final energy = -3.9004 eV/atom
Magnetization = 0.00 μB per cell

Cell lengths 6.8179, 7.9465, 7.9465 Å; angles 88.66, 54.78, 125.22 degrees
With the nearest neighbours (Å) after each atom.
Positions (direct):
Ca 0.0000 0.2654 0.7654  6 Sb 3.41-3.72, 4 Bi 3.47
Ca 0.0000 0.7346 0.2346  6 Sb 3.41-3.72, 4 Bi 3.47
Bi 0.4313 0.1801 0.3199  2 Sb 3.06-3.17
Bi 0.5687 0.8199 0.6801  2 Sb 3.06-3.17
Sb 0.5000 0.2916 0.7916  2 Sb 3.03
Sb 0.9863 0.7263 0.7737  2 Sb 3.03, 2 Bi 3.06-3.17
Sb 0.0137 0.2737 0.2263  2 Sb 3.03, 2 Bi 3.06-3.17
Sb 0.5000 0.7084 0.2084  2 Sb 3.03

=====

Record 8
Below is an optimized crystal structure of Ca3BiSb, with properties calculated at the PBE-GGA level.

Computed properties:
ΔE_f (raw) = -919.7 meV/atom
Final energy = -3.7214 eV/atom
Offset from the most stable computed form = 0.0000 eV/atom
Magnetization = 0.00 μB per cell

Cell lengths 4.7590, 7.6113, 9.4555 Å; angles 90.00, 90.00, 90.00 degrees
With the nearest neighbours (Å) after each atom.
Positions (direct):
Ca 0.7500 0.7500 0.0649  2 Bi 3.12, 1 Sb 3.13
Ca 0.2500 0.2500 0.9351  2 Bi 3.12, 1 Sb 3.13
Ca 0.7500 0.9862 0.6739  3 Sb 3.18-3.19, 2 Bi 3.42
Ca 0.7500 0.5138 0.6739  3 Sb 3.18-3.19, 2 Bi 3.42
Ca 0.2500 0.0138 0.3261  3 Sb 3.18-3.19, 2 Bi 3.42
Ca 0.2500 0.4862 0.3261  3 Sb 3.18-3.19, 2 Bi 3.42
Bi 0.7500 0.2500 0.1484  6 Ca 3.12-3.42
Bi 0.2500 0.7500 0.8516  6 Ca 3.12-3.42
Sb 0.7500 0.7500 0.3954  7 Ca 3.13-3.19
Sb 0.2500 0.2500 0.6046  7 Ca 3.13-3.19